{
  "formula": "TlHF3",
  "functional": "PBE",
  "state": "relaxed",
  "spacegroup": "Pm-3m",
  "e_above_lowest_polymorph_mev_per_atom": 684.8,
  "cell": [[3.7196, 0.0000, 0.0000], [0.0000, 3.7196, 0.0000], [0.0000, 0.0000, 3.7196]],
  "species": ["Tl", "H", "F", "F", "F"],
  "frac_coords": [[0.0000, 0.0000, 0.0000], [0.5000, 0.5000, 0.5000], [0.0000, 0.5000, 0.5000], [0.5000, 0.0000, 0.5000], [0.5000, 0.5000, 0.0000]]
}

---

{
  "formula": "Tl3HF",
  "functional": "PBE",
  "state": "relaxed",
  "spacegroup": "Pm-3m",
  "e_above_lowest_polymorph_mev_per_atom": 0.0,
  "cell": [[4.9011, 0.0000, 0.0000], [0.0000, 4.9011, 0.0000], [0.0000, 0.0000, 4.9011]],
  "species": ["Tl", "Tl", "Tl", "H", "F"],
  "frac_coords": [[0.0000, 0.0000, 0.5000], [0.0000, 0.5000, 0.0000], [0.5000, 0.0000, 0.0000], [0.0000, 0.0000, 0.0000], [0.5000, 0.5000, 0.5000]]
}

---

{
  "formula": "Tl2HF",
  "functional": "PBE",
  "state": "relaxed",
  "spacegroup": "Fm-3m",
  "e_above_lowest_polymorph_mev_per_atom": 69.3,
  "cell": [[0.0000, 3.4003, 3.4003], [3.4003, 0.0000, 3.4003], [3.4003, 3.4003, 0.0000]],
  "species": ["Tl", "Tl", "H", "F"],
  "frac_coords": [[0.2500, 0.2500, 0.2500], [0.7500, 0.7500, 0.7500], [0.0000, 0.0000, 0.0000], [0.5000, 0.5000, 0.5000]]
}

---

{
  "formula": "Tl2H2F",
  "functional": "PBE",
  "state": "relaxed",
  "spacegroup": "C2/m",
  "total_energy_ev_per_atom": -3.25,
  "cell": [[2.9858, -1.7243, 0.0000], [2.9858, 1.7243, 0.0000], [-2.3894, 0.0000, 10.5090]],
  "species": ["Tl", "Tl", "H", "H", "F"],
  "frac_coords": [[0.2424, 0.2424, 0.1819], [0.7576, 0.7576, 0.8181], [0.0105, 0.0105, 0.5359], [0.9895, 0.9895, 0.4641], [0.5000, 0.5000, 0.0000]]
}

---

{
  "formula": "TlH2F8",
  "functional": "PBE",
  "state": "relaxed",
  "spacegroup": "C2/m",
  "total_energy_ev_per_atom": -3.21,
  "cell": [[5.3186, -2.8652, 0.0000], [5.3186, 2.8652, 0.0000], [-1.8527, 0.0000, 4.4746]],
  "species": ["Tl", "H", "H", "F", "F", "F", "F", "F", "F", "F", "F"],
  "frac_coords": [[0.0000, 0.0000, 0.0000], [0.2834, 0.2834, 0.6263], [0.7166, 0.7166, 0.3737], [0.1838, 0.6897, 0.3282], [0.1969, 0.1969, 0.2884], [0.3103, 0.8162, 0.6718], [0.3483, 0.3483, 0.8323], [0.6517, 0.6517, 0.1677], [0.6897, 0.1838, 0.3282], [0.8031, 0.8031, 0.7116], [0.8162, 0.3103, 0.6718]]
}

---

{
  "formula": "Tl2HF",
  "functional": "PBE",
  "state": "relaxed",
  "spacegroup": "I-42d",
  "e_above_lowest_polymorph_mev_per_atom": 0.0,
  "cell": [[-3.0216, 3.0216, 5.6315], [3.0216, -3.0216, 5.6315], [3.0216, 3.0216, -5.6315]],
  "species": ["Tl", "Tl", "Tl", "Tl", "H", "H", "F", "F"],
  "frac_coords": [[0.1025, 0.6250, 0.9775], [0.3750, 0.3525, 0.4775], [0.6475, 0.1250, 0.0225], [0.8750, 0.8975, 0.5225], [0.0000, 0.0000, 0.0000], [0.7500, 0.2500, 0.5000], [0.2500, 0.7500, 0.5000], [0.5000, 0.5000, 0.0000]]
}